Here is a relaxed structure of CaTcB from Alexandria via LeMat-Bulk. Energies are from PBE-GGA.

Unit cell a=4.021 b=4.021 c=8.239 alpha=90.00 beta=90.00 gamma=90.00
Fractional positions:
1 Ca 0.250 0.250 0.208
2 Ca 0.750 0.750 0.792
3 Tc 0.250 0.750 0.500
4 Tc 0.750 0.250 0.500
5 B 0.250 0.250 0.586
6 B 0.750 0.750 0.414

final energy = -6.476 eV per atom
DFT formation energy = -128 meV per atom